Record 1
# Li4V3CrO8 (PBEsol, relaxed)
# relative energy among the computed polymorphs: 0 meV per atom
# crystal system: triclinic
# M_tot: 2.51 Bohr magnetons per cell
# raw formation energy: -2.247 eV per atom
data_Li4V3CrO8
_cell_length_a 4.8199
_cell_length_b 5.1855
_cell_length_c 5.5853
_cell_angle_alpha 74.29
_cell_angle_beta 89.98
_cell_angle_gamma 80.80
_symmetry_space_group_name_H-M 'P 1'
_symmetry_Int_Tables_number 1
_symmetry_space_group_name_Hall 'P 1'
loop_
_atom_site_label
_atom_site_fract_x
_atom_site_fract_y
_atom_site_fract_z
Li1 0.2418 0.0083 0.1200
Li2 0.2531 0.9894 0.6330
Li3 0.7469 0.0106 0.3670
Li4 0.7582 0.9917 0.8800
V1 0.0001 0.4998 0.2827
V2 0.9999 0.5002 0.7173
V3 0.5000 0.5000 0.5000
Cr1 0.5000 0.5000 0.0000
O1 0.1264 0.7186 0.9455
O2 0.1265 0.7610 0.4334
O3 0.3703 0.2651 0.8098
O4 0.3705 0.2662 0.3079
O5 0.6295 0.7338 0.6921
O6 0.6297 0.7349 0.1902
O7 0.8735 0.2390 0.5666
O8 0.8736 0.2814 0.0545

=====

Record 2
# Li2VCr3O8 (PBEsol, relaxed)
# relative energy among the computed polymorphs: 14 meV per atom
# crystal system: hexagonal
# M_tot: 18.00 Bohr magnetons per cell
# raw formation energy: -2.097 eV per atom
data_Li2VCr3O8
_cell_length_a 5.7536
_cell_length_b 5.7536
_cell_length_c 9.1982
_cell_angle_alpha 90.00
_cell_angle_beta 90.00
_cell_angle_gamma 120.00
_symmetry_space_group_name_H-M 'P 1'
_symmetry_Int_Tables_number 1
_symmetry_space_group_name_Hall 'P 1'
loop_
_atom_site_label
_atom_site_fract_x
_atom_site_fract_y
_atom_site_fract_z
Li1 0.0000 0.0000 0.0000
Li2 0.0000 0.0000 0.5000
Li3 0.3333 0.6667 0.1039
Li4 0.6667 0.3333 0.6039
V1 0.3333 0.6667 0.5036
V2 0.6667 0.3333 0.0036
Cr1 0.1710 0.3419 0.7829
Cr2 0.1710 0.8290 0.7829
Cr3 0.3419 0.1710 0.2829
Cr4 0.6581 0.8290 0.7829
Cr5 0.8290 0.1710 0.2829
Cr6 0.8290 0.6581 0.2829
O1 0.0000 0.0000 0.1893
O2 0.0000 0.0000 0.6893
O3 0.0435 0.5218 0.6536
O4 0.1701 0.3402 0.3974
O5 0.1701 0.8299 0.3974
O6 0.3333 0.6667 0.8946
O7 0.3402 0.1701 0.8974
O8 0.4782 0.5218 0.6536
O9 0.4782 0.9565 0.6536
O10 0.5218 0.0435 0.1536
O11 0.5218 0.4782 0.1536
O12 0.6598 0.8299 0.3974
O13 0.6667 0.3333 0.3946
O14 0.8299 0.1701 0.8974
O15 0.8299 0.6598 0.8974
O16 0.9565 0.4782 0.1536

=====

relative energy among the computed polymorphs of number 1 (Li4V3CrO8)?
0 meV per atom

=====

Among the records above, which one has the highest raw formation energy?
Li2VCr3O8